[1]
Below is a geometry-optimized TaCoPt2F structure, with properties calculated at the GGA+U level.

* spin magnetization: 1.04 μB/f.u.
* energy: -5.103 eV per atom

Geometry as POSCAR:
```
TaCoPt2F
1.0
-3.408 -3.091 1.557
2.130 -0.269 4.129
-2.653 3.736 1.612
Co Pt Ta F
1 2 1 1
Direct
0.000 0.500 0.000 Co
0.500 0.000 0.000 Pt
0.000 0.000 0.500 Pt
0.000 0.000 0.000 Ta
0.500 0.500 0.500 F
```


[2]
Below is a geometry-optimized Ca3NiF structure, with properties calculated at the GGA+U level.

* spin magnetization: 0.00 μB/f.u.
* polymorph energy (0 for the lowest one): 0.0000 eV/atom
* energy: -2.709 eV per atom

Geometry as POSCAR:
```
Ca3NiF
1.0
4.852 0.000 0.000
0.000 4.852 0.000
0.000 0.000 4.852
Ca F Ni
3 1 1
Direct
0.000 0.000 0.500 Ca
0.000 0.500 0.000 Ca
0.500 0.000 0.000 Ca
0.000 0.000 0.000 F
0.500 0.500 0.500 Ni
```


Q: Which of these has the highest spin magnetization?
A: TaCoPt2F